A relaxed structure of Pm6Tl2Cd. Source: Alexandria, functional PBE.

Geometry as POSCAR:
```
Pm6Tl2Cd
1.0
8.328 -3.768 0.000
8.328 3.768 0.000
-1.660 0.000 5.012
Pm Tl Cd
6 2 1
direct
0.082 0.586 0.334
0.245 0.755 0.000
0.414 0.918 0.666
0.586 0.082 0.334
0.755 0.245 0.000
0.918 0.414 0.666
0.334 0.334 0.833
0.666 0.666 0.167
0.000 0.000 0.500
```

Output
The formation energy is -0.003 eV per atom. Its total energy is -3.797 eV/atom. Its symmetry is No. 12.